1.
Here is a relaxed structure of Mg2BeP from Alexandria. Energies are from PBE.

abc: 7.2720 11.1675 3.9448
angles: 90.00 90.00 90.00
Space group Cmcm (No. 63)
Symmetry-distinct sites (fractional):
Mg1 0.2051 0.1359 0.2500 x8
Be1 0.0000 0.0482 0.7500 x4
P1 0.0000 0.2434 0.7500 x4

N(E_F) (states/eV per cell): 4.2
Total moment (μB per cell): 0.00
Calculated formation energy (eV per atom): -0.204
Polymorph energy (0 for the lowest one) (eV per formula unit): 0.17
DFT total energy (eV for the cell shown): -52.56

=====

2.
Here is a relaxed structure of Mg2BeP from Alexandria. Energies are from PBE.

abc: 5.5883 5.6178 4.8459
angles: 90.00 124.87 90.00
Space group C2/m (No. 12)
Symmetry-distinct sites (fractional):
Mg1 0.0000 0.2497 0.0000 x4
Be1 0.0000 0.0000 0.5000 x2
P1 0.0000 0.5000 0.5000 x2

N(E_F) (states/eV per cell): 2.6
Total moment (μB per cell): 0.00
Calculated formation energy (eV per atom): 0.144
Polymorph energy (0 for the lowest one) (eV per formula unit): 1.56
DFT total energy (eV for the cell shown): -23.50

=====

3.
Here is a relaxed structure of MgBe2PPb from Alexandria. Energies are from PBE.

abc: 4.6935 4.6935 4.8799
angles: 90.00 90.00 90.00
Space group P4/mmm (No. 123)
Symmetry-distinct sites (fractional):
Mg1 0.0000 0.0000 0.0000 x1
Be1 0.0000 0.5000 0.0000 x2
P1 0.0000 0.0000 0.5000 x1
Pb1 0.5000 0.5000 0.5000 x1

N(E_F) (states/eV per cell): 3.1
Total moment (μB per cell): 0.00
Calculated formation energy (eV per atom): 1.072
DFT total energy (eV for the cell shown): -12.81

=====

4.
Here is a relaxed structure of MgBe2PPt from Alexandria. Energies are from PBE.

abc: 4.2278 4.2278 4.9453
angles: 90.00 90.00 90.00
Space group P4/mmm (No. 123)
Symmetry-distinct sites (fractional):
Mg1 0.0000 0.0000 0.0000 x1
Be1 0.0000 0.5000 0.5000 x2
P1 0.5000 0.5000 0.0000 x1
Pt1 0.5000 0.5000 0.5000 x1

N(E_F) (states/eV per cell): 2.0
Total moment (μB per cell): 0.00
Calculated formation energy (eV per atom): 0.230
DFT total energy (eV for the cell shown): -19.35

=====

5.
Here is a relaxed structure of MgBePS2 from Alexandria. Energies are from PBE.

abc: 4.6694 4.6694 3.9427
angles: 90.00 90.00 90.00
Space group P4/mmm (No. 123)
Symmetry-distinct sites (fractional):
Mg1 0.0000 0.0000 0.0000 x1
Be1 0.5000 0.5000 0.5000 x1
P1 0.5000 0.5000 0.0000 x1
S1 0.0000 0.5000 0.5000 x2

N(E_F) (states/eV per cell): 1.7
E_form (uncorrected) (meV/atom): 100
Total moment (μB per cell): 0.00
Polymorph energy (0 for the lowest one) (eV per formula unit): 0.00
DFT total energy (eV for the cell shown): -18.48

=====

6.
Here is a relaxed structure of MgBePS2 from Alexandria. Energies are from PBE.

abc: 4.7048 4.7048 4.8319
angles: 90.00 90.00 90.00
Space group P4/mmm (No. 123)
Symmetry-distinct sites (fractional):
Mg1 0.0000 0.0000 0.0000 x1
Be1 0.5000 0.5000 0.5000 x1
P1 0.0000 0.0000 0.5000 x1
S1 0.0000 0.5000 0.0000 x2

N(E_F) (states/eV per cell): 6.0
E_form (uncorrected) (meV/atom): 960
Total moment (μB per cell): 0.00
Polymorph energy (0 for the lowest one) (eV per formula unit): 4.30
DFT total energy (eV for the cell shown): -14.18

=====

7.
Here is a relaxed structure of MgBeP2S from Alexandria. Energies are from PBE.

abc: 4.7697 4.7697 4.6984
angles: 90.00 90.00 90.00
Space group P4/mmm (No. 123)
Symmetry-distinct sites (fractional):
Mg1 0.0000 0.0000 0.0000 x1
Be1 0.5000 0.5000 0.5000 x1
P1 0.0000 0.5000 0.0000 x2
S1 0.0000 0.0000 0.5000 x1

N(E_F) (states/eV per cell): 5.3
E_form (uncorrected) (meV/atom): 1192
Total moment (μB per cell): 0.15
Polymorph energy (0 for the lowest one) (eV per formula unit): 4.59
DFT total energy (eV for the cell shown): -14.31

=====

8.
Here is a relaxed structure of MgBeP2S from Alexandria. Energies are from PBE.

abc: 3.8925 3.8925 7.4566
angles: 90.00 90.00 90.00
Space group P4/mmm (No. 123)
Symmetry-distinct sites (fractional):
Mg1 0.0000 0.0000 0.0000 x1
Be1 0.5000 0.5000 0.5000 x1
P1 0.0000 0.5000 0.5000 x2
S1 0.5000 0.5000 0.0000 x1

N(E_F) (states/eV per cell): 2.8
E_form (uncorrected) (meV/atom): 274
Total moment (μB per cell): 0.00
Polymorph energy (0 for the lowest one) (eV per formula unit): 0.00
DFT total energy (eV for the cell shown): -18.90

=====

9.
Here is a relaxed structure of MgBe2PSe from Alexandria. Energies are from PBE.

abc: 4.6340 4.6340 4.7474
angles: 90.00 90.00 90.00
Space group P4/mmm (No. 123)
Symmetry-distinct sites (fractional):
Mg1 0.0000 0.0000 0.0000 x1
Be1 0.0000 0.5000 0.0000 x2
P1 0.0000 0.0000 0.5000 x1
Se1 0.5000 0.5000 0.5000 x1

N(E_F) (states/eV per cell): 4.1
E_form (uncorrected) (meV/atom): 1353
Total moment (μB per cell): 0.00
DFT total energy (eV for the cell shown): -11.18

=====

10.
Here is a relaxed structure of SrMgBeP2 from Alexandria. Energies are from PBE.

abc: 6.8107 4.8423 7.1202
angles: 90.00 102.87 90.00
Space group P2/c (No. 13)
Symmetry-distinct sites (fractional):
Sr1 0.0000 0.2348 0.2500 x2
Mg1 0.5000 0.4913 0.7500 x2
Be1 0.5000 0.0000 0.0000 x2
P1 0.2664 0.2582 0.9520 x4

Total moment (μB per cell): 0.00
Calculated formation energy (eV per atom): -0.668
DFT total energy (eV for the cell shown): -42.33

=====

11.
Here is a relaxed structure of MgTiBeP2 from Alexandria. Energies are from PBE.

abc: 4.3270 4.3270 4.2349
angles: 90.00 90.00 90.00
Space group P4/mmm (No. 123)
Symmetry-distinct sites (fractional):
Mg1 0.0000 0.0000 0.0000 x1
Ti1 0.5000 0.5000 0.0000 x1
Be1 0.5000 0.5000 0.5000 x1
P1 0.0000 0.5000 0.5000 x2

N(E_F) (states/eV per cell): 2.3
Total moment (μB per cell): 0.00
Calculated formation energy (eV per atom): 0.318
DFT total energy (eV for the cell shown): -22.44

=====

12.
Here is a relaxed structure of Mg2BeVP from Alexandria. Energies are from PBE.

abc: 4.7055 4.7055 4.4127
angles: 90.00 90.00 90.00
Space group P4/mmm (No. 123)
Symmetry-distinct sites (fractional):
Mg1 0.0000 0.5000 0.0000 x2
Be1 0.0000 0.0000 0.5000 x1
V1 0.5000 0.5000 0.5000 x1
P1 0.5000 0.5000 0.0000 x1

N(E_F) (states/eV per cell): 4.4
Total moment (μB per cell): 0.00
Calculated formation energy (eV per atom): 0.509
DFT total energy (eV for the cell shown): -18.90